Record 1
! NbSn2Au (PBE, optimized geometry); values from VASP
! Energy above the most stable polymorph in this dataset = 0 meV/atom
! Energy = -5.3296 eV per atom
! V = 20.43 Å³/atom
! Total magnetic moment = 0.00 μB/f.u.
&SYSTEM
  ibrav = 0, nat = 4, ntyp = 3
/
ATOMIC_SPECIES
Nb 92.91 Nb.upf
Sn 118.71 Sn.upf
Au 196.97 Au.upf
ATOMIC_POSITIONS angstrom
Nb 0.0000 0.0000 0.0000
Sn 0.0000 2.3663 1.8243
Sn 2.3663 0.0000 1.8243
Au 2.3663 2.3663 0.0000
CELL_PARAMETERS angstrom
4.7326 0.0000 0.0000
0.0000 4.7326 0.0000
0.0000 0.0000 3.6487

***

Record 2
! LaNdYIn (PBE, optimized geometry); values from VASP
! Energy above the most stable polymorph in this dataset = 33 meV/atom
! Energy = -4.8436 eV per atom
! V = 30.48 Å³/atom
! Total magnetic moment = 0.01 μB/f.u.
&SYSTEM
  ibrav = 0, nat = 4, ntyp = 4
/
ATOMIC_SPECIES
La 138.91 La.upf
Nd 144.24 Nd.upf
Y 88.91 Y.upf
In 114.82 In.upf
ATOMIC_POSITIONS angstrom
La 0.0000 0.0000 0.0000
Nd 1.9678 1.9678 1.9678
Y 5.9034 5.9034 5.9034
In 3.9356 3.9356 3.9356
CELL_PARAMETERS angstrom
0.0000 3.9356 3.9356
3.9356 0.0000 3.9356
3.9356 3.9356 0.0000

***

Record 3
! Dy5In2Co (PBE, optimized geometry); values from VASP
! Energy above the most stable polymorph in this dataset = 0 meV/atom
! Energy = -4.7504 eV per atom
! V = 26.42 Å³/atom
! Total magnetic moment = 0.00 μB/f.u.
&SYSTEM
  ibrav = 0, nat = 16, ntyp = 3
/
ATOMIC_SPECIES
Dy 162.50 Dy.upf
In 114.82 In.upf
Co 58.93 Co.upf
ATOMIC_POSITIONS angstrom
Dy 0.0000 0.0000 0.0000
Dy 0.8560 3.6229 0.0000
Dy 1.2870 7.0873 2.3986
Dy 2.3060 0.9565 2.3986
Dy 2.7370 9.7537 0.0000
Dy 3.5930 6.1307 0.0000
Dy 4.4490 2.5078 0.0000
Dy 4.8799 11.3049 2.3986
Dy 5.8990 5.1742 2.3986
Dy 6.3300 8.6385 0.0000
In 0.7078 10.2608 2.3986
In 2.8852 4.1300 2.3986
In 4.3007 8.1315 2.3986
In 6.4782 2.0007 2.3986
Co 0.0000 6.1307 0.0000
Co 3.5930 0.0000 0.0000
CELL_PARAMETERS angstrom
7.1859 0.0000 0.0000
0.0000 12.2615 0.0000
0.0000 0.0000 4.7972

***

Record 4
! TePAu (PBE, optimized geometry); values from VASP
! Energy above the most stable polymorph in this dataset = 18 meV/atom
! Energy relative to the elements, uncorrected = 0.07 eV per formula unit
! Energy = -3.9193 eV per atom
! V = 25.36 Å³/atom
! Total magnetic moment = 0.00 μB/f.u.
&SYSTEM
  ibrav = 0, nat = 6, ntyp = 3
/
ATOMIC_SPECIES
Te 127.60 Te.upf
P 30.97 P.upf
Au 196.97 Au.upf
ATOMIC_POSITIONS angstrom
Te 0.0000 0.0000 0.0000
Te 5.4140 3.7871 5.3480
P 4.0932 3.4068 3.2002
P 3.3782 1.3553 3.4366
Au 1.8514 1.0309 1.6478
Au 7.1781 5.1325 3.4533
CELL_PARAMETERS angstrom
4.8031 0.0000 0.0000
2.1632 5.6292 0.0000
2.0504 1.0730 5.6267

***

Record 5
! K2RbPd (PBE, optimized geometry); values from VASP
! Energy above the most stable polymorph in this dataset = 68 meV/atom
! Energy = -1.9033 eV per atom
! V = 39.82 Å³/atom
! Total magnetic moment = 0.00 μB/f.u.
&SYSTEM
  ibrav = 0, nat = 4, ntyp = 3
/
ATOMIC_SPECIES
K 39.10 K.upf
Rb 85.47 Rb.upf
Pd 106.42 Pd.upf
ATOMIC_POSITIONS angstrom
K 2.1512 2.1512 2.1512
K 6.4537 6.4537 6.4537
Rb 0.0000 0.0000 0.0000
Pd 4.3024 4.3024 4.3024
CELL_PARAMETERS angstrom
0.0000 4.3024 4.3024
4.3024 0.0000 4.3024
4.3024 4.3024 0.0000

***

Record 6
! CaTmZn2Au4 (PBE, optimized geometry); values from VASP
! Energy = -3.3421 eV per atom
! V = 19.85 Å³/atom
! Total magnetic moment = 0.00 μB/f.u.
&SYSTEM
  ibrav = 0, nat = 8, ntyp = 4
/
ATOMIC_SPECIES
Ca 40.08 Ca.upf
Tm 168.93 Tm.upf
Zn 65.41 Zn.upf
Au 196.97 Au.upf
ATOMIC_POSITIONS angstrom
Ca 0.0000 0.0000 0.0000
Tm 0.0000 0.0000 11.5761
Zn 0.0000 0.0000 5.8324
Zn 0.0000 0.0000 17.3198
Au 0.0000 0.0000 3.0250
Au 0.0000 0.0000 8.6795
Au 0.0000 0.0000 14.4726
Au 0.0000 0.0000 20.1271
CELL_PARAMETERS angstrom
2.4372 1.4071 7.7174
-2.4372 1.4071 7.7174
0.0000 -2.8142 7.7174

***

Record 7
! TcHRu2W (PBE, optimized geometry); values from VASP
! Energy above the most stable polymorph in this dataset = 55 meV/atom
! Energy = -9.0051 eV per atom
! V = 12.11 Å³/atom
! Total magnetic moment = 0.00 μB/f.u.
&SYSTEM
  ibrav = 0, nat = 5, ntyp = 4
/
ATOMIC_SPECIES
Tc 98.00 Tc.upf
H 1.01 H.upf
Ru 101.07 Ru.upf
W 183.84 W.upf
ATOMIC_POSITIONS angstrom
Tc 0.0000 0.0000 0.0000
H 1.9485 1.9485 1.9928
Ru 0.0000 1.9485 1.9928
Ru 1.9485 0.0000 1.9928
W 1.9485 1.9485 0.0000
CELL_PARAMETERS angstrom
3.8970 0.0000 0.0000
0.0000 3.8970 0.0000
0.0000 0.0000 3.9856

***

Record 8
! V3FeW (PBE, optimized geometry); values from VASP
! Energy above the most stable polymorph in this dataset = 151 meV/atom
! Energy = -9.4770 eV per atom
! V = 13.84 Å³/atom
! Total magnetic moment = 0.61 μB/f.u.
&SYSTEM
  ibrav = 0, nat = 10, ntyp = 3
/
ATOMIC_SPECIES
V 50.94 V.upf
Fe 55.84 Fe.upf
W 183.84 W.upf
ATOMIC_POSITIONS angstrom
V 1.2339 1.8914 3.5436
V 2.4637 3.9582 3.5436
V 1.2339 -1.8914 1.1812
V 3.6935 1.8914 3.5436
V 2.4637 -3.9582 1.1812
V 3.6935 -1.8914 1.1812
Fe 0.0000 0.0000 0.0000
Fe 0.0000 0.0000 2.3624
W 2.4637 0.7870 1.1812
W 2.4637 -0.7870 3.5436
CELL_PARAMETERS angstrom
2.4637 -5.9437 0.0000
2.4637 5.9437 0.0000
0.0000 0.0000 4.7248

***

Question: Among the records above, which one has the lowest energy?
Answer: V3FeW

***

Question: Among the records above, which one has the highest energy?
Answer: K2RbPd

***

Question: energy of number 8 (V3FeW)?
Answer: -9.4770 eV per atom